Here is a geometry-optimized NdHfN2 structure from the Alexandria database. Energies are from PBE-GGA.

Output
The calculation puts the formation energy without anion corrections at -5.80 eV/f.u. The electronic total energy comes out at -9.29 eV/atom. The value obtained for the density of states at the Fermi level is 1.8 states/eV/f.u.

```
data_NdHfN2
_chemical_formula_sum 'Nd3 Hf3 N6'
_symmetry_space_group_name_H-M 'R 3 m'
_symmetry_Int_Tables_number 160
_symmetry_space_group_name_Hall 'R 3 -2"'
_cell_length_a 3.3074
_cell_length_b 3.3074
_cell_length_c 17.8783
_cell_angle_alpha 90.00
_cell_angle_beta 90.00
_cell_angle_gamma 120.00
loop_
_atom_site_label
_atom_site_fract_x
_atom_site_fract_y
_atom_site_fract_z
Nd1 0.0000 0.0000 0.0000
Hf1 0.0000 0.0000 0.8273
N1 0.0000 0.0000 0.2299
N2 0.0000 0.0000 0.4270
```


Here is a geometry-optimized MnFe2GeC structure from the Alexandria database. Energies are from PBE-GGA.

Output
The electronic total energy comes out at -7.97 eV/atom. The value obtained for the density of states at the Fermi level is 4.8 states/eV/f.u. Its energy relative to the elements is 16.0 meV/atom.

```
data_MnFe2GeC
_chemical_formula_sum 'Mn1 Fe2 Ge1 C1'
_symmetry_space_group_name_H-M 'P 4/m m m'
_symmetry_Int_Tables_number 123
_symmetry_space_group_name_Hall '-P 4 2'
_cell_length_a 3.754
_cell_length_b 3.754
_cell_length_c 3.775
_cell_angle_alpha 90.00
_cell_angle_beta 90.00
_cell_angle_gamma 90.00
loop_
_atom_site_label
_atom_site_fract_x
_atom_site_fract_y
_atom_site_fract_z
Mn1 0.000 0.000 0.000
Fe1 0.000 0.500 0.500
Ge1 0.500 0.500 0.000
C1 0.000 0.000 0.500
```


Here is a geometry-optimized CaNdDy4Se8 structure from the Alexandria database. Energies are from PBE-GGA.

Output
The calculation puts the formation energy without anion corrections at -25.15 eV/f.u. The electronic total energy comes out at -5.59 eV/atom. The value obtained for the density of states at the Fermi level is 3.7 states/eV/f.u.

```
data_CaNdDy4Se8
_chemical_formula_sum 'Ca3 Nd3 Dy12 Se24'
_symmetry_space_group_name_H-M 'R 3 m'
_symmetry_Int_Tables_number 160
_symmetry_space_group_name_Hall 'R 3 -2"'
_cell_length_a 8.4714
_cell_length_b 8.4714
_cell_length_c 20.9764
_cell_angle_alpha 90.00
_cell_angle_beta 90.00
_cell_angle_gamma 120.00
loop_
_atom_site_label
_atom_site_fract_x
_atom_site_fract_y
_atom_site_fract_z
Ca1 0.0000 0.0000 0.0000
Nd1 0.0000 0.0000 0.3718
Dy1 0.0000 0.0000 0.7481
Dy2 0.0054 0.5027 0.8746
Se1 0.0000 0.0000 0.1342
Se2 0.0000 0.0000 0.6156
Se3 0.0150 0.5075 0.1291
Se4 0.1772 0.3543 0.9509
```


Here is a geometry-optimized TlRuW structure from the Alexandria database. Energies are from PBE-GGA.

Output
The electronic total energy comes out at -7.40 eV/atom. The value obtained for the density of states at the Fermi level is 4.0 states/eV/f.u. Its energy relative to the elements is 795.7 meV/atom.

```
data_TlRuW
_chemical_formula_sum 'Tl4 Ru4 W4'
_symmetry_space_group_name_H-M 'F -4 3 m'
_symmetry_Int_Tables_number 216
_symmetry_space_group_name_Hall 'F -4 2 3'
_cell_length_a 6.196
_cell_length_b 6.196
_cell_length_c 6.196
_cell_angle_alpha 90.00
_cell_angle_beta 90.00
_cell_angle_gamma 90.00
loop_
_atom_site_label
_atom_site_fract_x
_atom_site_fract_y
_atom_site_fract_z
Tl1 0.000 0.000 0.000
Ru1 0.250 0.250 0.250
W1 0.000 0.000 0.500
```


Here is a geometry-optimized CaLaSiBi2 structure from the Alexandria database. Energies are from PBE-GGA.

Output
The calculation puts the formation energy without anion corrections at 3.85 eV/f.u. The electronic total energy comes out at -3.25 eV/atom. The value obtained for the density of states at the Fermi level is 5.2 states/eV/f.u.

```
data_CaLaSiBi2
_chemical_formula_sum 'Ca1 La1 Si1 Bi2'
_symmetry_space_group_name_H-M 'P 4/m m m'
_symmetry_Int_Tables_number 123
_symmetry_space_group_name_Hall '-P 4 2'
_cell_length_a 5.639
_cell_length_b 5.639
_cell_length_c 5.854
_cell_angle_alpha 90.00
_cell_angle_beta 90.00
_cell_angle_gamma 90.00
loop_
_atom_site_label
_atom_site_fract_x
_atom_site_fract_y
_atom_site_fract_z
Ca1 0.000 0.000 0.000
La1 0.000 0.000 0.500
Si1 0.500 0.500 0.500
Bi1 0.000 0.500 0.000
```


Here is a geometry-optimized Sr2Li5Pd structure from the Alexandria database. Energies are from PBE-GGA.

Output
The electronic total energy comes out at -2.40 eV/atom. The value obtained for the density of states at the Fermi level is 2.8 states/eV/f.u. Its energy relative to the elements is -135.3 meV/atom.

```
data_Sr2Li5Pd
_chemical_formula_sum 'Sr4 Li10 Pd2'
_symmetry_space_group_name_H-M 'I 4 m m'
_symmetry_Int_Tables_number 107
_symmetry_space_group_name_Hall 'I 4 -2'
_cell_length_a 6.019
_cell_length_b 6.019
_cell_length_c 12.380
_cell_angle_alpha 90.00
_cell_angle_beta 90.00
_cell_angle_gamma 90.00
loop_
_atom_site_label
_atom_site_fract_x
_atom_site_fract_y
_atom_site_fract_z
Sr1 0.000 0.500 0.000
Li1 0.000 0.000 0.374
Li2 0.235 0.235 0.731
Pd1 0.000 0.000 0.583
```


Here is a geometry-optimized Ag2TePt structure from the Alexandria database. Energies are from PBE-GGA.

Output
The calculation puts the formation energy without anion corrections at 0.71 eV/f.u. The electronic total energy comes out at -3.54 eV/atom. The value obtained for the density of states at the Fermi level is 1.5 states/eV/f.u.

```
data_Ag2TePt
_chemical_formula_sum 'Ag8 Te4 Pt4'
_symmetry_space_group_name_H-M 'I -4 2 d'
_symmetry_Int_Tables_number 122
_symmetry_space_group_name_Hall 'I -4 2bw'
_cell_length_a 7.843
_cell_length_b 7.843
_cell_length_c 5.467
_cell_angle_alpha 90.00
_cell_angle_beta 90.00
_cell_angle_gamma 90.00
loop_
_atom_site_label
_atom_site_fract_x
_atom_site_fract_y
_atom_site_fract_z
Ag1 0.238 0.250 0.125
Te1 0.000 0.000 0.500
Pt1 0.000 0.000 0.000
```


Here is a geometry-optimized Tb3Y4Er3 structure from the Alexandria database. Energies are from PBE-GGA.

Output
The electronic total energy comes out at -5.23 eV/atom. The value obtained for the density of states at the Fermi level is 8.7 states/eV/f.u. Its energy relative to the elements is 110.2 meV/atom.

```
data_Tb3Y4Er3
_chemical_formula_sum 'Tb6 Y8 Er6'
_symmetry_space_group_name_H-M 'A m m 2'
_symmetry_Int_Tables_number 38
_cell_length_a 3.690
_cell_length_b 13.181
_cell_length_c 13.196
_cell_angle_alpha 90.00
_cell_angle_beta 90.00
_cell_angle_gamma 90.00
loop_
_symmetry_equiv_pos_as_xyz
'x,y,z'
'-x,-y,z'
'-x,y,z'
'x,-y,z'
'x,y+1/2,z+1/2'
'-x,-y+1/2,z+1/2'
'-x,y+1/2,z+1/2'
'x,-y+1/2,z+1/2'
loop_
_atom_site_label
_atom_site_fract_x
_atom_site_fract_y
_atom_site_fract_z
Tb1 0.000 0.000 0.000
Tb2 0.000 0.172 0.672
Y1 0.500 0.000 0.545
Y2 0.500 0.000 0.799
Y3 0.500 0.127 0.173
Er1 0.000 0.000 0.345
Er2 0.500 0.249 0.421
```


Here is a geometry-optimized Er7Tl2Au2 structure from the Alexandria database. Energies are from PBE-GGA.

Output
The electronic total energy comes out at -4.19 eV/atom. The value obtained for the density of states at the Fermi level is 10.3 states/eV/f.u. Its energy relative to the elements is -259.3 meV/atom.

```
data_Er7Tl2Au2
_chemical_formula_sum 'Er14 Tl4 Au4'
_symmetry_space_group_name_H-M 'C m m m'
_symmetry_Int_Tables_number 65
_symmetry_space_group_name_Hall '-C 2 2'
_cell_length_a 8.259
_cell_length_b 11.114
_cell_length_c 7.125
_cell_angle_alpha 90.00
_cell_angle_beta 90.00
_cell_angle_gamma 90.00
loop_
_atom_site_label
_atom_site_fract_x
_atom_site_fract_y
_atom_site_fract_z
Er1 0.000 0.000 0.000
Er2 0.000 0.500 0.247
Er3 0.250 0.250 0.259
Tl1 0.181 0.000 0.500
Au1 0.000 0.291 0.000
```


Here is a geometry-optimized TiAlSi2 structure from the Alexandria database. Energies are from PBE-GGA.

Output
The calculation puts the formation energy without anion corrections at 0.42 eV/f.u. The electronic total energy comes out at -5.52 eV/atom. The value obtained for the density of states at the Fermi level is 3.8 states/eV/f.u.

```
data_TiAlSi2
_chemical_formula_sum 'Ti4 Al4 Si8'
_symmetry_space_group_name_H-M 'I -4 2 d'
_symmetry_Int_Tables_number 122
_symmetry_space_group_name_Hall 'I -4 2bw'
_cell_length_a 7.065
_cell_length_b 7.065
_cell_length_c 5.260
_cell_angle_alpha 90.00
_cell_angle_beta 90.00
_cell_angle_gamma 90.00
loop_
_atom_site_label
_atom_site_fract_x
_atom_site_fract_y
_atom_site_fract_z
Ti1 0.000 0.000 0.000
Al1 0.000 0.000 0.500
Si1 0.238 0.250 0.625
```


Here is a geometry-optimized BeNi4B2 structure from the Alexandria database. Energies are from PBE-GGA.

Output
The electronic total energy comes out at -5.93 eV/atom. The value obtained for the density of states at the Fermi level is 1.9 states/eV/f.u. Its energy relative to the elements is -185.3 meV/atom.

```
data_BeNi4B2
_chemical_formula_sum 'Be3 Ni12 B6'
_symmetry_space_group_name_H-M 'R -3 m'
_symmetry_Int_Tables_number 166
_symmetry_space_group_name_Hall '-R 3 2"'
_cell_length_a 3.3857
_cell_length_b 3.3857
_cell_length_c 19.6947
_cell_angle_alpha 90.00
_cell_angle_beta 90.00
_cell_angle_gamma 120.00
loop_
_atom_site_label
_atom_site_fract_x
_atom_site_fract_y
_atom_site_fract_z
Be1 0.0000 0.0000 0.0000
Ni1 0.0000 0.0000 0.2046
Ni2 0.0000 0.0000 0.3846
B1 0.0000 0.0000 0.0993
```


Here is a geometry-optimized Tl7In6 structure from the Alexandria database. Energies are from PBE-GGA.

Output
The electronic total energy comes out at -2.44 eV/atom. The value obtained for the density of states at the Fermi level is 6.3 states/eV/f.u. Its energy relative to the elements is 102.4 meV/atom.

```
data_Tl7In6
_chemical_formula_sum 'Tl21 In18'
_symmetry_space_group_name_H-M 'R -3 m'
_symmetry_Int_Tables_number 166
_symmetry_space_group_name_Hall '-R 3 2"'
_cell_length_a 6.5527
_cell_length_b 6.5527
_cell_length_c 32.3603
_cell_angle_alpha 90.00
_cell_angle_beta 90.00
_cell_angle_gamma 120.00
loop_
_atom_site_label
_atom_site_fract_x
_atom_site_fract_y
_atom_site_fract_z
Tl1 0.0000 0.0000 0.0000
Tl2 0.0048 0.5024 0.4146
In1 0.0000 0.0000 0.1660
In2 0.0000 0.0000 0.3490
In3 0.0000 0.0000 0.4534
```


> Which of these has the lowest electronic total energy?

NdHfN2